Pu2Sb4Pd5 | GGA-PBE | relaxed

Properties
* energy: -75.59 eV/cell
* space group: No. 69
* magnetization: 11.9 μB/f.u.

Unit cell a=5.8754 b=5.9065 c=8.7643 alpha=80.40 beta=70.42 gamma=60.17
Closest atoms and distances in Å follow each position.
Fractional coordinates of all 11 atoms:
Pu (0.8536, 0.0000, 0.2927)  6 Sb 3.35-3.55, 4 Pd 3.41
Pu (0.1464, 0.0000, 0.7073)  6 Sb 3.35-3.55, 4 Pd 3.41
Sb (0.4731, 0.3099, 0.7440)  5 Pd 2.64-2.75
Sb (0.5269, 0.6901, 0.2560)  5 Pd 2.64-2.75
Sb (0.2170, 0.3099, 0.2560)  5 Pd 2.64-2.75
Sb (0.7830, 0.6901, 0.7440)  5 Pd 2.64-2.75
Pd (0.5000, 0.0000, 0.0000)  4 Sb 2.64, 4 Pd 2.95
Pd (0.0000, 0.5000, 0.0000)  4 Sb 2.75, 4 Pd 2.94-2.95
Pd (0.5000, 0.5000, 0.0000)  4 Sb 2.75, 4 Pd 2.94-2.95
Pd (0.2500, 0.5000, 0.5000)  4 Sb 2.68, 2 Pd 2.94
Pd (0.7500, 0.5000, 0.5000)  4 Sb 2.68, 2 Pd 2.94

NdIrRh | GGA-PBE | relaxed

Properties
* energy: -22.30 eV/cell
* ΔE to the lowest computed polymorph: 23.0 kJ/mol of atoms
* space group: No. 187
* magnetization: 0.0 μB/f.u.

Unit cell a=4.0689 b=4.3038 c=4.3038 alpha=120.00 beta=90.00 gamma=90.00
Closest atoms and distances in Å follow each position.
Fractional coordinates of all 3 atoms:
Rh (0.1667, 0.0000, 0.0000)  3 Ir 2.48
Ir (0.1667, 0.3333, 0.6667)  3 Rh 2.48
Nd (0.6666, 0.6667, 0.3333)  6 Ir 3.21, 6 Rh 3.21

What did the second record say?
NdIrRh | GGA-PBE | relaxed

Properties
* energy: -22.30 eV/cell
* ΔE to the lowest computed polymorph: 23.0 kJ/mol of atoms
* space group: No. 187
* magnetization: 0.0 μB/f.u.

Unit cell a=4.0689 b=4.3038 c=4.3038 alpha=120.00 beta=90.00 gamma=90.00
Closest atoms and distances in Å follow each position.
Fractional coordinates of all 3 atoms:
Rh (0.1667, 0.0000, 0.0000)  3 Ir 2.48
Ir (0.1667, 0.3333, 0.6667)  3 Rh 2.48
Nd (0.6666, 0.6667, 0.3333)  6 Ir 3.21, 6 Rh 3.21

Repeat the first record exactly.
Pu2Sb4Pd5 | GGA-PBE | relaxed

Properties
* energy: -75.59 eV/cell
* space group: No. 69
* magnetization: 11.9 μB/f.u.

Unit cell a=5.8754 b=5.9065 c=8.7643 alpha=80.40 beta=70.42 gamma=60.17
Closest atoms and distances in Å follow each position.
Fractional coordinates of all 11 atoms:
Pu (0.8536, 0.0000, 0.2927)  6 Sb 3.35-3.55, 4 Pd 3.41
Pu (0.1464, 0.0000, 0.7073)  6 Sb 3.35-3.55, 4 Pd 3.41
Sb (0.4731, 0.3099, 0.7440)  5 Pd 2.64-2.75
Sb (0.5269, 0.6901, 0.2560)  5 Pd 2.64-2.75
Sb (0.2170, 0.3099, 0.2560)  5 Pd 2.64-2.75
Sb (0.7830, 0.6901, 0.7440)  5 Pd 2.64-2.75
Pd (0.5000, 0.0000, 0.0000)  4 Sb 2.64, 4 Pd 2.95
Pd (0.0000, 0.5000, 0.0000)  4 Sb 2.75, 4 Pd 2.94-2.95
Pd (0.5000, 0.5000, 0.0000)  4 Sb 2.75, 4 Pd 2.94-2.95
Pd (0.2500, 0.5000, 0.5000)  4 Sb 2.68, 2 Pd 2.94
Pd (0.7500, 0.5000, 0.5000)  4 Sb 2.68, 2 Pd 2.94

Q: Which of these has the lowest magnetization?
A: NdIrRh

Q: Which value of energy does entry 2 give?
A: -22.30 eV/cell